[1]
Density functional theory data (PBE-GGA) for a relaxed structure of DyPuPbO6.

abc: 5.8264 5.8264 10.1558
angles: 90.00 90.00 120.00
With the nearest neighbours (Å) after each atom.
Atoms (fractional coordinates):
O (0.6167, 0.6494, 0.6427)  1 Pu 2.02
O (0.0327, 0.6494, 0.8573)  1 Pu 2.02
O (0.3506, 0.3833, 0.8573)  1 Pu 2.02
O (0.6494, 0.6167, 0.1427)  1 Pu 2.02
O (0.3506, 0.9673, 0.6427)  1 Pu 2.02
O (0.3833, 0.3506, 0.3573)  1 Pu 2.02
O (0.0327, 0.3833, 0.6427)  1 Pu 2.02
O (0.6167, 0.9673, 0.8573)  1 Pu 2.02
O (0.9673, 0.6167, 0.3573)  1 Pu 2.02
O (0.9673, 0.3506, 0.1427)  1 Pu 2.02
O (0.3833, 0.0327, 0.1427)  1 Pu 2.02
O (0.6494, 0.0327, 0.3573)  1 Pu 2.02
Pu (0.3333, 0.6667, 0.7500)  6 O 2.02
Pu (0.6667, 0.3333, 0.2500)  6 O 2.02
Dy (0.3333, 0.6667, 0.2500)  6 O 2.28
Dy (0.6667, 0.3333, 0.7500)  6 O 2.28
Pb (0.0000, 0.0000, 0.0000)  6 O 2.59
Pb (0.0000, 0.0000, 0.5000)  6 O 2.59

Energy relative to the elements, uncorrected = -2.41 eV/atom

[2]
Density functional theory data (PBE-GGA) for a relaxed structure of LiCuS.

abc: 3.8776 3.8776 6.9336
angles: 90.00 90.00 120.00
With the nearest neighbours (Å) after each atom.
Atoms (fractional coordinates):
Li (0.0000, 0.0000, 0.0000)  6 S 2.83, 6 Cu 2.83
Li (0.0000, 0.0000, 0.5000)  6 S 2.83, 6 Cu 2.83
Cu (0.6667, 0.3333, 0.7500)  3 S 2.24
Cu (0.3333, 0.6667, 0.2500)  3 S 2.24
S (0.6667, 0.3333, 0.2500)  3 Cu 2.24
S (0.3333, 0.6667, 0.7500)  3 Cu 2.24

Energy relative to the elements, uncorrected = -0.69 eV/atom

[3]
Density functional theory data (PBE-GGA) for a relaxed structure of Tc2SbCl.

abc: 5.7966 5.7966 6.6171
angles: 64.02 64.02 90.00
With the nearest neighbours (Å) after each atom.
Atoms (fractional coordinates):
Cl (0.2500, 0.7500, 0.5000)  4 Tc 2.26
Cl (0.5000, 0.5000, 0.0000)  4 Tc 2.26
Sb (0.7500, 0.2500, 0.5000)  4 Tc 2.62
Sb (0.0000, 0.0000, 0.0000)  4 Tc 2.62
Tc (0.1765, 0.6250, 0.2500)  2 Cl 2.26
Tc (0.8750, 0.8235, 0.7500)  2 Cl 2.26
Tc (0.3750, 0.4265, 0.7500)  2 Cl 2.26
Tc (0.5735, 0.1250, 0.2500)  2 Cl 2.26

Relative energy among the computed polymorphs = 919 meV/atom
Energy relative to the elements, uncorrected = 0.83 eV/atom

[4]
Density functional theory data (PBE-GGA) for a relaxed structure of MgTl.

abc: 3.4468 3.4468 10.3285
angles: 90.00 90.00 120.00
With the nearest neighbours (Å) after each atom.
Atoms (fractional coordinates):
Mg (0.6667, 0.3333, 0.2427)  9 Mg 3.14-3.45, 3 Tl 3.21
Mg (0.0000, 0.0000, 0.0073)  9 Mg 3.14-3.45, 3 Tl 3.21
Tl (0.0000, 0.0000, 0.4870)  3 Mg 3.21, 9 Tl 3.45-3.48
Tl (0.6667, 0.3333, 0.7630)  3 Mg 3.21, 9 Tl 3.45-3.48

DFT formation energy = 2.1 kJ per mole of atoms

[5]
Density functional theory data (PBE-GGA) for a relaxed structure of RbLaAlAg2.

abc: 5.6338 6.7316 5.6338
angles: 90.00 90.00 90.00
With the nearest neighbours (Å) after each atom.
Atoms (fractional coordinates):
Rb (0.0000, 0.5000, 0.0000)  2 La 3.37
La (0.0000, 0.0000, 0.0000)  4 Ag 2.82
Al (0.5000, 0.5000, 0.5000)  4 Rb 3.98, 8 Ag 4.39
Ag (0.0000, 0.0000, 0.5000)  2 La 2.82
Ag (0.5000, 0.0000, 0.0000)  2 La 2.82

DFT formation energy = 100.3 kJ per mole of atoms

[6]
Density functional theory data (PBE-GGA) for a relaxed structure of Li2YCu10.

abc: 4.7546 6.4383 6.5955
angles: 82.35 68.87 68.33
With the nearest neighbours (Å) after each atom.
Atoms (fractional coordinates):
Cu (0.2776, 0.2194, 0.2253)  2 Li 2.45, 6 Cu 2.48-2.65
Cu (0.0063, 0.6361, 0.3514)  6 Cu 2.45-2.65, 2 Li 2.64
Cu (0.0000, 0.5000, 0.0000)  10 Cu 2.38-2.60
Cu (0.3577, 0.6361, 0.6486)  6 Cu 2.45-2.65, 2 Li 2.64
Cu (0.5030, 0.2194, 0.7747)  2 Li 2.45, 6 Cu 2.48-2.65
Cu (0.6423, 0.3639, 0.3514)  6 Cu 2.45-2.65, 2 Li 2.64
Cu (0.5000, 0.5000, 0.0000)  10 Cu 2.38-2.60
Cu (0.9937, 0.3639, 0.6486)  6 Cu 2.45-2.65, 2 Li 2.64
Cu (0.4970, 0.7806, 0.2253)  2 Li 2.45, 6 Cu 2.48-2.65
Cu (0.7224, 0.7806, 0.7747)  2 Li 2.45, 6 Cu 2.48-2.65
Li (0.5000, 0.0000, 0.5000)  2 Li 2.38, 8 Cu 2.45-2.64
Li (0.0000, 0.0000, 0.5000)  2 Li 2.38, 8 Cu 2.45-2.64
Y (0.0000, 0.0000, 0.0000)  16 Cu 3.05-3.22, 4 Li 3.30

DFT formation energy = -5.5 kJ per mole of atoms

[7]
Density functional theory data (PBE-GGA) for a relaxed structure of SmAl3Ir2.

abc: 4.1472 8.4996 9.9350
angles: 105.56 90.00 104.12
With the nearest neighbours (Å) after each atom.
Atoms (fractional coordinates):
Ir (0.5281, 0.0561, 0.7756)  5 Al 2.53-2.65
Ir (0.4719, 0.9439, 0.2244)  5 Al 2.53-2.65
Ir (0.3625, 0.7249, 0.5440)  7 Al 2.42-2.62
Ir (0.6375, 0.2751, 0.4560)  7 Al 2.42-2.62
Ir (0.1907, 0.3813, 0.1246)  6 Al 2.55-2.60
Ir (0.8093, 0.6187, 0.8754)  6 Al 2.55-2.60
Al (0.3250, 0.6500, 0.0365)  4 Ir 2.59-2.62, 1 Al 2.73
Al (0.0460, 0.0920, 0.3449)  4 Ir 2.53-2.62, 3 Al 2.70-2.81
Al (0.6270, 0.2540, 0.2049)  4 Ir 2.45-2.62, 1 Al 2.73
Al (0.5000, 0.0000, 0.5000)  4 Ir 2.42-2.65
Al (0.3730, 0.7460, 0.7951)  4 Ir 2.45-2.62, 1 Al 2.73
Al (0.7843, 0.5685, 0.6058)  4 Ir 2.46-2.60, 1 Al 2.70
Al (0.2157, 0.4315, 0.3942)  4 Ir 2.46-2.60, 1 Al 2.70
Al (0.9540, 0.9080, 0.6551)  4 Ir 2.53-2.62, 3 Al 2.70-2.81
Al (0.6750, 0.3500, 0.9635)  4 Ir 2.59-2.62, 1 Al 2.73
Sm (0.0000, 0.0000, 0.0000)  6 Ir 3.04-3.17, 6 Al 3.24-3.30
Sm (0.8384, 0.6767, 0.2902)  6 Ir 3.20-3.27, 9 Al 3.22-3.56
Sm (0.1616, 0.3233, 0.7098)  6 Ir 3.20-3.27, 9 Al 3.22-3.56

DFT formation energy = -79.2 kJ per mole of atoms

[8]
Density functional theory data (PBE-GGA) for a relaxed structure of La2CuAs4Ir3.

abc: 4.4170 4.4170 9.8019
angles: 90.00 90.00 90.00
With the nearest neighbours (Å) after each atom.
Atoms (fractional coordinates):
Cu (0.5000, 0.5000, 0.5000)  4 As 2.55
La (0.0000, 0.5000, 0.7514)  8 As 3.29-3.34, 7 Ir 3.31-3.57, 2 Cu 3.31
La (0.5000, 0.0000, 0.2486)  8 As 3.29-3.34, 2 Cu 3.31, 7 Ir 3.31-3.57
As (0.0000, 0.0000, 0.0000)  4 Ir 2.48
As (0.5000, 0.0000, 0.6310)  3 Ir 2.48-2.55, 2 Cu 2.55
As (0.0000, 0.5000, 0.3690)  3 Ir 2.48-2.55, 2 Cu 2.55
As (0.5000, 0.5000, 0.0000)  4 Ir 2.48
Ir (0.0000, 0.0000, 0.5000)  4 As 2.55
Ir (0.5000, 0.0000, 0.8845)  5 As 2.48
Ir (0.0000, 0.5000, 0.1155)  5 As 2.48

DFT formation energy = -74.2 kJ per mole of atoms

[9]
Density functional theory data (PBE-GGA) for a relaxed structure of NaCd2Ga.

abc: 5.0175 5.0175 5.0114
angles: 59.96 59.96 60.00
With the nearest neighbours (Å) after each atom.
Atoms (fractional coordinates):
Cd (0.2501, 0.2501, 0.2497)  4 Na 3.07, 4 Cd 3.07
Cd (0.9997, 0.9997, 0.0008)  4 Ga 3.06-3.07, 4 Cd 3.07
Na (0.5002, 0.5002, 0.4994)  4 Ga 3.06-3.07, 4 Cd 3.07
Ga (0.7500, 0.7500, 0.7501)  4 Na 3.06-3.07, 4 Cd 3.06-3.07

DFT formation energy = -2.5 kJ per mole of atoms

[10]
Density functional theory data (PBE-GGA) for a relaxed structure of TbPm2Y7.

abc: 3.5243 14.8015 14.8016
angles: 154.36 90.00 90.00
With the nearest neighbours (Å) after each atom.
Atoms (fractional coordinates):
Y (0.0000, 0.8137, 0.1863)  6 Y 3.49-3.52, 6 Pm 3.54-3.78
Y (0.5000, 0.3445, 0.1479)  7 Y 3.23-3.52, 1 Pm 3.56
Y (0.5000, 0.6555, 0.8521)  7 Y 3.23-3.52, 1 Pm 3.56
Y (0.5000, 0.5000, 0.5000)  6 Y 3.29-3.52
Y (0.5000, 0.8521, 0.6555)  7 Y 3.23-3.52, 1 Pm 3.56
Y (0.5000, 0.1479, 0.3445)  7 Y 3.23-3.52, 1 Pm 3.56
Y (0.0000, 0.1863, 0.8137)  6 Y 3.49-3.52, 6 Pm 3.54-3.78
Tb (0.0000, 0.0000, 0.0000)  2 Tb 3.52, 12 Y 3.71-3.73
Pm (0.5000, 0.7074, 0.2926)  2 Pm 3.52, 8 Y 3.54-3.78
Pm (0.5000, 0.2926, 0.7074)  2 Pm 3.52, 8 Y 3.54-3.78

Relative energy among the computed polymorphs = 144 meV/atom
DFT formation energy = 15.8 kJ per mole of atoms

[11]
Density functional theory data (PBE-GGA) for a relaxed structure of La4NdSm2Tm.

abc: 6.0516 6.0562 9.7768
angles: 51.75 90.00 90.00
With the nearest neighbours (Å) after each atom.
Atoms (fractional coordinates):
Sm (0.5000, 0.0000, 0.5000)  8 La 3.54-3.55, 2 Nd 3.84
Sm (0.0000, 0.0000, 0.0000)  8 La 3.61-3.63, 2 Tm 3.84
La (0.5000, 0.7409, 0.2602)  4 Sm 3.54-3.63, 2 Tm 3.54, 2 Nd 3.62-3.63, 1 La 3.68
La (0.5000, 0.2591, 0.7398)  4 Sm 3.54-3.63, 2 Tm 3.54, 2 Nd 3.62-3.63, 1 La 3.68
La (0.0000, 0.2393, 0.2585)  2 Tm 3.54-3.56, 4 Sm 3.55-3.63, 2 Nd 3.62, 1 La 3.71
La (0.0000, 0.7607, 0.7415)  2 Tm 3.54-3.56, 4 Sm 3.55-3.63, 2 Nd 3.62, 1 La 3.71
Tm (0.0000, 0.5000, 0.5000)  8 La 3.54-3.56, 2 Sm 3.84
Nd (0.5000, 0.5000, 0.0000)  8 La 3.62-3.63, 2 Sm 3.84

DFT formation energy = 8.6 kJ per mole of atoms

no.,E (Ry per atom)
1,-0.605
2,-0.299
3,-0.430
4,-0.144
5,-0.149
6,-0.294
7,-0.473
8,-0.491
9,-0.115
10,-0.424
11,-0.346